! TbNi3As2 PBE optimized geometry; values from VASP
&SYSTEM
  ibrav = 0, nat = 18, ntyp = 3
/
ATOMIC_SPECIES
Ni 58.69 Ni.upf
Tb 158.93 Tb.upf
As 74.92 As.upf
CELL_PARAMETERS angstrom
3.871 0.000 0.000
-1.935 7.423 -2.312
0.000 0.142 9.413
ATOMIC_POSITIONS crystal
Ni 0.374 0.748 0.796
Tb 0.845 0.689 0.299
Ni 0.500 0.000 0.500
As 0.533 0.066 0.782
Ni 0.626 0.252 0.204
Tb 0.155 0.311 0.701
Ni 0.954 0.909 0.656
As 0.800 0.600 0.872
As 0.359 0.717 0.543
Ni 0.785 0.569 0.612
Ni 0.326 0.653 0.032
As 0.467 0.934 0.218
Ni 0.674 0.347 0.968
Ni 0.215 0.431 0.388
Ni 0.046 0.091 0.344
As 0.200 0.400 0.128
Tb 0.000 0.000 0.000
As 0.641 0.283 0.457
! Excess energy over the best structure of this formula in the dataset ... 0 meV/atom
! Magnetic moment ... 0.0 μB/cell
! Calculated volume ... 90.58 Å³/f.u.
! Space-group type ... C2/m

***

! TbNiAs PBE optimized geometry; values from VASP
&SYSTEM
  ibrav = 0, nat = 6, ntyp = 3
/
ATOMIC_SPECIES
Ni 58.69 Ni.upf
Tb 158.93 Tb.upf
As 74.92 As.upf
CELL_PARAMETERS angstrom
4.118 0.000 0.000
-2.059 4.983 0.218
0.000 -1.434 5.778
ATOMIC_POSITIONS crystal
Ni 0.612 0.224 0.418
Ni 0.388 0.776 0.582
Tb 0.117 0.234 0.763
As 0.823 0.647 0.732
As 0.177 0.353 0.268
Tb 0.883 0.766 0.237
! Magnetic moment ... 0.0 μB/cell
! Calculated volume ... 59.92 Å³/f.u.
! E_tot ... -5.8797 eV/atom
! Space-group type ... C2/m

***

! Tb2Ni5As3 PBE optimized geometry; values from VASP
&SYSTEM
  ibrav = 0, nat = 20, ntyp = 3
/
ATOMIC_SPECIES
Ni 58.69 Ni.upf
Tb 158.93 Tb.upf
As 74.92 As.upf
CELL_PARAMETERS angstrom
-1.665 -2.270 2.905
6.056 -1.729 2.121
0.924 10.387 5.828
ATOMIC_POSITIONS crystal
Ni 0.945 0.088 0.891
Tb 0.825 0.250 0.650
As 0.774 0.710 0.548
As 0.386 0.016 0.772
Ni 0.592 0.858 0.183
Ni 0.408 0.358 0.817
Ni 0.290 0.911 0.580
Ni 0.710 0.411 0.420
Ni 0.874 0.789 0.748
Ni 0.722 0.018 0.444
As 0.054 0.973 0.108
Ni 0.126 0.289 0.252
Tb 0.175 0.750 0.350
Tb 0.478 0.753 0.956
Ni 0.055 0.588 0.109
As 0.614 0.516 0.228
Tb 0.522 0.253 0.044
Ni 0.278 0.518 0.556
As 0.226 0.210 0.452
As 0.946 0.473 0.892
! Magnetic moment ... 0.0 μB/cell
! Calculated volume ... 158.26 Å³/f.u.
! E_tot ... -5.8404 eV/atom
! Space-group type ... Cmc2_1

***

! Tb2Ni5As4 PBE optimized geometry; values from VASP
&SYSTEM
  ibrav = 0, nat = 11, ntyp = 3
/
ATOMIC_SPECIES
Tb 158.93 Tb.upf
Ni 58.69 Ni.upf
As 74.92 As.upf
CELL_PARAMETERS angstrom
5.425 0.000 0.000
2.713 4.752 0.000
2.713 0.000 6.915
ATOMIC_POSITIONS crystal
Tb 0.860 0.000 0.281
Ni 0.750 0.500 0.500
Ni 0.000 0.500 0.000
As 0.476 0.308 0.739
As 0.784 0.692 0.739
As 0.524 0.692 0.261
Ni 0.500 0.000 0.000
Tb 0.140 0.000 0.719
Ni 0.500 0.500 0.000
As 0.216 0.308 0.261
Ni 0.250 0.500 0.500
! Magnetic moment ... 0.0 μB/cell
! Calculated volume ... 178.29 Å³/f.u.
! E_tot ... -5.7555 eV/atom
! Space-group type ... Fmmm

***

! Tb3Ni2As3 PBE optimized geometry; values from VASP
&SYSTEM
  ibrav = 0, nat = 16, ntyp = 3
/
ATOMIC_SPECIES
Ni 58.69 Ni.upf
As 74.92 As.upf
Tb 158.93 Tb.upf
CELL_PARAMETERS angstrom
-0.055 -2.711 -3.059
5.040 2.657 0.287
4.767 -9.990 8.767
ATOMIC_POSITIONS crystal
Ni 0.774 0.548 0.599
As 0.650 0.300 0.750
Tb 0.357 0.714 0.750
Tb 0.076 0.151 0.608
Tb 0.076 0.151 0.892
As 0.367 0.734 0.547
As 0.633 0.266 0.453
As 0.633 0.266 0.047
As 0.367 0.734 0.953
Ni 0.774 0.548 0.901
Ni 0.226 0.452 0.401
Tb 0.924 0.849 0.392
Tb 0.924 0.849 0.108
Ni 0.226 0.452 0.099
As 0.350 0.700 0.250
Tb 0.643 0.286 0.250
! Magnetic moment ... 0.9 μB/cell
! Calculated volume ... 153.69 Å³/f.u.
! E_tot ... -5.9589 eV/atom
! Space-group type ... Cmcm

***

! Tb3Ni4As4 PBE optimized geometry; values from VASP
&SYSTEM
  ibrav = 0, nat = 11, ntyp = 3
/
ATOMIC_SPECIES
As 74.92 As.upf
Ni 58.69 Ni.upf
Tb 158.93 Tb.upf
CELL_PARAMETERS angstrom
-3.791 -0.401 1.087
1.147 -2.273 3.157
-0.434 8.481 8.880
ATOMIC_POSITIONS crystal
As 0.554 0.555 0.891
Ni 0.596 0.097 0.808
Tb 0.000 0.000 0.000
Tb 0.849 0.349 0.303
As 0.306 0.807 0.388
Ni 0.404 0.903 0.192
As 0.446 0.445 0.109
Ni 0.252 0.251 0.498
Tb 0.151 0.651 0.697
As 0.694 0.193 0.612
Ni 0.749 0.749 0.502
! Magnetic moment ... 0.0 μB/cell
! Calculated volume ... 192.18 Å³/f.u.
! E_tot ... -6.0002 eV/atom
! Space-group type ... P-1